Entry from Alexandria via LeMat-Bulk: crystalline Fe2SiO4 at its relaxed geometry (GGA+U).

The structure belongs to space group Imma (No. 74); the cell edges are 5.6651, 6.4136 and 7.5359 Å and the angles 90.00°, 90.00° and 90.00°. The asymmetric unit holds Fe at (0.0000, 0.0000, 0.0000), Fe at (0.2500, 0.2500, 0.2500), Si at (0.2500, 0.2500, 0.7500), O at (0.0000, 0.0567, 0.7450) and O at (0.2367, 0.2500, 0.9836).

Its total energy is -6.76 eV/atom. The total magnetization is 24.00 μB per cell.